Material: CePm6Ho
Method: DFT, PBE
State: optimized geometry

Calculated values
M_tot: 1.0 μB per formula unit
Space group: P4/mmm
ΔE_f: 49.0 meV/atom
Crystal system: tetragonal

Cell and atoms, written as POSCAR:
```
CePm6Ho
1.0
5.118 0.000 0.000
0.000 5.118 0.000
0.000 0.000 10.237
Ce Pm Ho
1 6 1
Cartesian
0.000 0.000 0.000 Ce
0.000 2.559 2.548 Pm
0.000 2.559 7.689 Pm
2.559 0.000 2.548 Pm
2.559 0.000 7.689 Pm
2.559 2.559 0.000 Pm
2.559 2.559 5.119 Pm
0.000 0.000 5.119 Ho
```